Compound: Sr2YFeCu2O7
Source: the Alexandria database
Functional: GGA+U
Structure: relaxed

Offset from the most stable computed form: 0.0000 eV per atom
V: 349 Å³/cell
Total magnetization: 10.01 μB per cell

a = 12.2975 Å, b = 12.2975 Å, c = 12.2975 Å
α = 154.54°, β = 154.09°, γ = 36.65°
Site moments in Bohr magnetons follow the coordinates.
Positions (direct):
O (0.3185, 0.2919, 0.4828)  0.00
O (0.8165, 0.2990, 0.9929)  0.00
O (0.1939, 0.6763, 0.9929)  0.00
O (0.3092, 0.7919, 0.9735)  0.00
O (0.3559, 0.6393, 0.4952)  0.23
O (0.8061, 0.7990, 0.4825)  0.00
O (0.6441, 0.1393, 0.2834)  0.23
O (0.2831, 0.2850, 0.9189)  0.16
O (0.8661, 0.7850, 0.0019)  0.16
O (0.1835, 0.1763, 0.4825)  0.00
O (0.6815, 0.1643, 0.9735)  0.00
O (0.7169, 0.6358, 0.0019)  0.16
O (0.1339, 0.1358, 0.9189)  0.16
O (0.6908, 0.6643, 0.4828)  0.00
Cu (0.4291, 0.4112, 0.9837)  0.01
Cu (0.0725, 0.0547, 0.9837)  0.01
Cu (0.9275, 0.9112, 0.9822)  0.01
Cu (0.5709, 0.5547, 0.9822)  0.01
Sr (0.8662, 0.3375, 0.5047)  0.01
Sr (0.3328, 0.8375, 0.4713)  0.01
Sr (0.6672, 0.1385, 0.5047)  0.01
Sr (0.1338, 0.6385, 0.4713)  0.01
Fe (0.6812, 0.7791, 0.9603)  4.23
Fe (0.3188, 0.2791, 0.0978)  4.23
Y (0.0000, 0.4834, 0.4834)  0.00
Y (0.5000, 0.9834, 0.4834)  0.00